A relaxed structure of NaB2Cl6, computed with PBE.

Structure (POSCAR):
```
NaB2Cl6
1.0
6.262 -5.564 0.000
6.262 5.564 0.000
-3.573 0.000 7.009
Na B Cl
2 4 12
Direct
0.133 0.867 0.750
0.867 0.133 0.250
0.195 0.368 0.823
0.368 0.195 0.323
0.632 0.805 0.677
0.805 0.632 0.177
0.045 0.198 0.666
0.110 0.579 0.863
0.198 0.045 0.166
0.321 0.370 0.499
0.370 0.321 0.999
0.421 0.890 0.637
0.579 0.110 0.363
0.630 0.679 0.001
0.679 0.630 0.501
0.802 0.955 0.834
0.890 0.421 0.137
0.955 0.802 0.334
```

As for the formation energy without anion corrections: -7.515 eV per formula unit. As for the symmetry: C2/c (15).

---

A relaxed structure of NaBCl2, computed with PBE.

Structure (POSCAR):
```
NaBCl2
1.0
-2.907 2.907 6.472
2.907 -2.907 6.472
2.907 2.907 -6.472
Na B Cl
2 2 4
Direct
0.000 0.000 0.000
0.750 0.250 0.500
0.250 0.750 0.500
0.500 0.500 0.000
0.158 0.625 0.033
0.375 0.408 0.533
0.592 0.125 0.967
0.875 0.842 0.467
```

As for the formation energy without anion corrections: -0.263 eV per formula unit. For the energy above the most stable polymorph in this dataset, the calculation gives 0 meV/atom. As for the symmetry: I-42d (122).

---

A relaxed structure of NaBCl2, computed with PBE.

Structure (POSCAR):
```
NaBCl2
1.0
2.114 1.220 7.584
-2.114 1.220 7.584
0.000 -2.440 7.584
Na B Cl
1 1 2
Direct
0.000 0.000 0.000
0.500 0.500 0.500
0.399 0.399 0.399
0.601 0.601 0.601
```

As for the formation energy without anion corrections: 0.166 eV per formula unit. For the energy above the most stable polymorph in this dataset, the calculation gives 107 meV/atom. As for the symmetry: R-3m (166).

---

A relaxed structure of NaBCl3, computed with PBE.

Structure (POSCAR):
```
NaBCl3
1.0
4.531 0.000 0.000
0.000 4.531 0.000
0.000 0.000 4.531
Na B Cl
1 1 3
Direct
0.000 0.000 0.000
0.500 0.500 0.500
0.000 0.500 0.500
0.500 0.000 0.500
0.500 0.500 0.000
```

As for the formation energy without anion corrections: -2.002 eV per formula unit. For the energy above the most stable polymorph in this dataset, the calculation gives 790 meV/atom. As for the symmetry: Pm-3m (221).

---

A relaxed structure of Na3BCl6, computed with PBE.

Structure (POSCAR):
```
Na3BCl6
1.0
5.820 -7.246 0.000
5.820 7.246 0.000
0.000 0.000 7.474
Na B Cl
6 2 12
Direct
0.057 0.943 0.500
0.174 0.360 0.468
0.360 0.174 0.968
0.640 0.826 0.468
0.826 0.640 0.968
0.943 0.057 0.000
0.298 0.702 0.674
0.702 0.298 0.174
0.109 0.629 0.579
0.146 0.176 0.739
0.176 0.146 0.239
0.291 0.709 0.918
0.371 0.891 0.579
0.422 0.578 0.596
0.578 0.422 0.096
0.629 0.109 0.079
0.709 0.291 0.418
0.824 0.854 0.739
0.854 0.824 0.239
0.891 0.371 0.079
```

As for the formation energy without anion corrections: -14.140 eV per formula unit. For the energy above the most stable polymorph in this dataset, the calculation gives 0 meV/atom. As for the symmetry: Cmc2_1 (36).

---

A relaxed structure of NaBCl3, computed with PBE.

Structure (POSCAR):
```
NaBCl3
1.0
6.402 0.000 0.000
-3.160 5.721 0.000
-2.938 -1.925 6.313
Na B Cl
2 2 6
Direct
0.082 0.267 0.257
0.918 0.733 0.743
0.371 0.454 0.872
0.629 0.546 0.128
0.021 0.229 0.841
0.365 0.718 0.779
0.414 0.293 0.678
0.586 0.707 0.322
0.635 0.282 0.221
0.979 0.771 0.159
```

As for the formation energy without anion corrections: -5.904 eV per formula unit. For the energy above the most stable polymorph in this dataset, the calculation gives 10 meV/atom. As for the symmetry: P-1 (2).

---

A relaxed structure of Na11B21Cl2O36, computed with PBE.

Structure (POSCAR):
```
Na11B21Cl2O36
1.0
7.898 -4.450 0.000
7.898 4.450 0.000
-4.023 0.000 23.773
Na B Cl O
22 42 4 72
Direct
0.021 0.979 0.500
0.055 0.993 0.692
0.059 0.078 0.354
0.078 0.059 0.854
0.191 0.514 0.876
0.230 0.515 0.008
0.233 0.542 0.181
0.259 0.585 0.323
0.472 0.748 0.870
0.495 0.780 0.015
0.502 0.810 0.189
0.514 0.191 0.376
0.515 0.230 0.508
0.527 0.846 0.318
0.542 0.233 0.681
0.585 0.259 0.823
0.748 0.472 0.370
0.780 0.495 0.515
0.810 0.502 0.689
0.846 0.527 0.818
0.979 0.021 0.000
0.993 0.055 0.192
0.072 0.793 0.096
0.078 0.315 0.953
0.097 0.346 0.285
0.146 0.391 0.424
0.185 0.222 0.057
0.196 0.266 0.657
0.197 0.402 0.760
0.222 0.185 0.557
0.228 0.622 0.444
0.232 0.958 0.099
0.266 0.196 0.157
0.269 0.632 0.770
0.315 0.078 0.453
0.346 0.097 0.785
0.349 0.630 0.549
0.386 0.771 0.422
0.391 0.146 0.924
0.402 0.197 0.260
0.403 0.626 0.099
0.406 0.685 0.648
0.418 0.794 0.753
0.619 0.842 0.433
0.622 0.228 0.944
0.626 0.403 0.599
0.630 0.349 0.049
0.632 0.269 0.270
0.650 0.876 0.767
0.685 0.406 0.148
0.695 0.925 0.910
0.705 0.963 0.238
0.756 0.837 0.536
0.771 0.386 0.922
0.793 0.072 0.596
0.794 0.418 0.253
0.799 0.848 0.135
0.837 0.756 0.036
0.842 0.619 0.933
0.848 0.799 0.635
0.876 0.650 0.267
0.925 0.695 0.410
0.958 0.232 0.599
0.963 0.705 0.738
0.224 0.783 0.924
0.247 0.828 0.272
0.783 0.224 0.424
0.828 0.247 0.772
0.017 0.539 0.760
0.023 0.483 0.933
0.051 0.517 0.277
0.051 0.738 0.418
0.054 0.251 0.654
0.057 0.213 0.550
0.077 0.949 0.097
0.107 0.744 0.747
0.132 0.326 0.014
0.174 0.228 0.423
0.213 0.057 0.050
0.218 0.291 0.110
0.224 0.267 0.796
0.227 0.682 0.504
0.228 0.174 0.923
0.240 0.638 0.102
0.251 0.054 0.154
0.263 0.323 0.704
0.267 0.224 0.296
0.270 0.938 0.442
0.273 0.435 0.435
0.291 0.218 0.610
0.301 0.737 0.598
0.308 0.968 0.784
0.310 0.474 0.787
0.323 0.263 0.204
0.326 0.132 0.514
0.352 0.637 0.415
0.356 0.807 0.694
0.389 0.791 0.095
0.403 0.666 0.779
0.435 0.273 0.935
0.474 0.310 0.287
0.483 0.023 0.433
0.485 0.509 0.046
0.509 0.485 0.546
0.517 0.051 0.777
0.521 0.972 0.911
0.522 0.547 0.151
0.539 0.017 0.260
0.543 0.732 0.405
0.547 0.522 0.651
0.606 0.748 0.762
0.637 0.352 0.915
0.638 0.240 0.602
0.666 0.403 0.279
0.682 0.227 0.004
0.689 0.911 0.177
0.697 0.773 0.488
0.732 0.543 0.905
0.735 0.811 0.082
0.737 0.301 0.098
0.738 0.051 0.918
0.744 0.107 0.247
0.748 0.606 0.262
0.754 0.815 0.398
0.768 0.982 0.539
0.773 0.697 0.988
0.791 0.389 0.595
0.807 0.356 0.194
0.810 0.849 0.765
0.811 0.735 0.582
0.813 0.967 0.643
0.815 0.754 0.898
0.849 0.810 0.265
0.911 0.689 0.677
0.938 0.270 0.942
0.949 0.077 0.597
0.967 0.813 0.143
0.968 0.308 0.284
0.972 0.521 0.411
0.982 0.768 0.039
```

As for the formation energy without anion corrections: -164.324 eV per formula unit. As for the symmetry: Cc (9).

---

A relaxed structure of RbNa2B6ClO10, computed with PBE.

Structure (POSCAR):
```
RbNa2B6ClO10
1.0
8.469 0.000 0.000
0.000 9.742 0.000
0.000 0.000 12.896
Rb Na B Cl O
4 8 24 4 40
Direct
0.027 0.249 0.264
0.473 0.751 0.764
0.527 0.251 0.736
0.973 0.749 0.236
0.053 0.290 0.758
0.245 0.495 0.031
0.255 0.505 0.531
0.447 0.710 0.258
0.553 0.210 0.242
0.745 0.005 0.969
0.755 0.995 0.469
0.947 0.790 0.742
0.042 0.234 0.988
0.047 0.762 0.978
0.118 0.001 0.921
0.199 0.005 0.725
0.207 0.867 0.559
0.209 0.136 0.558
0.291 0.864 0.058
0.293 0.133 0.059
0.301 0.995 0.225
0.382 0.999 0.421
0.453 0.238 0.478
0.458 0.766 0.488
0.542 0.266 0.012
0.547 0.738 0.022
0.618 0.499 0.079
0.699 0.495 0.275
0.707 0.633 0.441
0.709 0.364 0.442
0.791 0.636 0.942
0.793 0.367 0.941
0.801 0.505 0.775
0.882 0.501 0.579
0.953 0.262 0.522
0.958 0.734 0.512
0.228 0.521 0.313
0.272 0.479 0.813
0.728 0.979 0.687
0.772 0.021 0.187
0.013 0.879 0.921
0.014 0.123 0.924
0.053 0.154 0.515
0.060 0.842 0.505
0.178 0.244 0.047
0.182 0.883 0.673
0.186 0.750 0.032
0.205 0.128 0.673
0.220 0.003 0.831
0.221 0.999 0.018
0.279 0.001 0.518
0.280 0.997 0.331
0.295 0.872 0.173
0.314 0.250 0.532
0.318 0.117 0.173
0.322 0.756 0.547
0.440 0.158 0.005
0.447 0.846 0.015
0.486 0.877 0.424
0.487 0.121 0.421
0.513 0.621 0.079
0.514 0.377 0.076
0.553 0.346 0.485
0.560 0.658 0.495
0.678 0.256 0.953
0.682 0.617 0.327
0.686 0.750 0.968
0.705 0.372 0.327
0.720 0.497 0.169
0.721 0.501 0.982
0.779 0.499 0.482
0.780 0.503 0.669
0.795 0.628 0.827
0.814 0.250 0.468
0.818 0.383 0.827
0.822 0.744 0.453
0.940 0.342 0.995
0.947 0.654 0.985
0.986 0.623 0.576
0.987 0.379 0.579
```

As for the formation energy without anion corrections: -47.034 eV per formula unit. As for the symmetry: P2_12_12_1 (19).

---

no.,final energy (Ry/atom)
1,-0.2717
2,-0.2196
3,-0.2117
4,-0.2284
5,-0.2635
6,-0.2858
7,-0.5263
8,-0.5223